Entry 1:
{
  "formula": "Fe2OsW",
  "functional": "SCAN",
  "state": "single point on PBEsol structure",
  "lattice_angstrom": [[-0.509, -3.166, 1.646], [2.362, 1.011, 2.676], [-2.812, 1.456, 1.932]],
  "species": ["Os", "Fe", "Fe", "W"],
  "frac_coords": [[0.500, 0.500, 0.500], [0.000, 0.000, 0.500], [0.000, 0.500, 0.000], [0.500, 0.000, 0.000]],
  "spacegroup": "P4/mmm",
  "energy_ev_per_atom": -44.32,
  "m_tot_mub_per_atom": 0.856
}

---

Entry 2:
{
  "formula": "YFe2Os",
  "functional": "SCAN",
  "state": "single point on PBEsol structure",
  "lattice_angstrom": [[3.006, 0.000, 0.000], [0.000, 3.006, 0.000], [0.000, 0.000, 6.724]],
  "species": ["Fe", "Fe", "Os", "Y"],
  "frac_coords": [[0.000, 0.000, 0.060], [0.500, 0.500, 0.241], [0.000, 0.000, 0.441], [0.500, 0.500, 0.758]],
  "spacegroup": "P4mm",
  "e_above_lowest_polymorph_mev_per_atom": 0,
  "energy_ev_per_atom": -33.85,
  "m_tot_mub_per_atom": 1.187
}

---

Entry 3:
{
  "formula": "YFe2Os",
  "functional": "SCAN",
  "state": "single point on PBEsol structure",
  "lattice_angstrom": [[-1.032, -2.439, 1.038], [-0.277, -1.009, -2.645], [6.621, -2.664, 0.323]],
  "species": ["Fe", "Fe", "Os", "Y"],
  "frac_coords": [[0.000, 0.000, 0.795], [0.000, 0.000, 0.205], [0.500, 0.500, 0.000], [0.500, 0.500, 0.500]],
  "spacegroup": "P4/mmm",
  "e_above_lowest_polymorph_mev_per_atom": 220,
  "energy_ev_per_atom": -33.63,
  "m_tot_mub_per_atom": 1.046
}

---

Entry 4:
{
  "formula": "YFe2Os",
  "functional": "SCAN",
  "state": "single point on PBEsol structure",
  "lattice_angstrom": [[4.401, 0.000, 0.000], [2.200, 3.811, 0.000], [2.200, 1.270, 3.593]],
  "species": ["Fe", "Fe", "Os", "Y"],
  "frac_coords": [[0.000, 0.000, 0.000], [0.750, 0.750, 0.750], [0.500, 0.500, 0.500], [0.250, 0.250, 0.250]],
  "spacegroup": "F-43m",
  "e_above_lowest_polymorph_mev_per_atom": 190,
  "energy_ev_per_atom": -33.66,
  "m_tot_mub_per_atom": 1.544
}

---

Entry 5:
{
  "formula": "YFe2Os",
  "functional": "SCAN",
  "state": "single point on PBEsol structure",
  "lattice_angstrom": [[2.778, 0.000, 0.000], [1.389, 2.406, 0.000], [1.389, 0.802, 8.949]],
  "species": ["Fe", "Fe", "Os", "Y"],
  "frac_coords": [[0.241, 0.241, 0.278], [0.759, 0.759, 0.722], [0.500, 0.500, 0.500], [0.000, 0.000, 0.000]],
  "spacegroup": "R-3m",
  "e_above_lowest_polymorph_mev_per_atom": 484,
  "energy_ev_per_atom": -33.37,
  "m_tot_mub_per_atom": 1.373
}

---

Entry 6:
{
  "formula": "ZnFeOs3",
  "functional": "SCAN",
  "state": "single point on PBEsol structure",
  "lattice_angstrom": [[-2.869, 3.317, 0.140], [-1.913, -1.803, 3.513], [2.713, 2.236, 2.625]],
  "species": ["Zn", "Os", "Os", "Os", "Fe"],
  "frac_coords": [[0.000, 0.000, 0.000], [0.000, 0.500, 0.000], [0.000, 0.000, 0.500], [0.500, 0.000, 0.000], [0.500, 0.500, 0.500]],
  "spacegroup": "Pm-3m",
  "energy_ev_per_atom": -47.22,
  "m_tot_mub_per_atom": 0.551
}

---

Entry 7:
{
  "formula": "ZrFe2Os",
  "functional": "SCAN",
  "state": "single point on PBEsol structure",
  "lattice_angstrom": [[-2.150, 0.763, 1.553], [-0.152, -2.551, 1.043], [4.444, 1.873, 5.229]],
  "species": ["Fe", "Fe", "Os", "Zr"],
  "frac_coords": [[0.000, 0.000, 0.781], [0.000, 0.000, 0.219], [0.500, 0.500, 0.000], [0.500, 0.500, 0.500]],
  "spacegroup": "P4/mmm",
  "energy_ev_per_atom": -34.40,
  "m_tot_mub_per_atom": 0.000
}

---

Entry 8:
{
  "formula": "ZrFe4Os",
  "functional": "SCAN",
  "state": "single point on PBEsol structure",
  "lattice_angstrom": [[4.749, 0.000, 0.000], [2.375, 4.113, 0.000], [2.375, 1.371, 3.878]],
  "species": ["Fe", "Fe", "Fe", "Fe", "Os", "Zr"],
  "frac_coords": [[0.376, 0.376, 0.376], [0.376, 0.376, 0.872], [0.872, 0.376, 0.376], [0.376, 0.872, 0.376], [0.750, 0.750, 0.750], [0.000, 0.000, 0.000]],
  "spacegroup": "F-43m",
  "energy_ev_per_atom": -29.29,
  "m_tot_mub_per_atom": 1.717
}

---

Entry 9:
{
  "formula": "ZrFe2Os",
  "functional": "SCAN",
  "state": "single point on PBEsol structure",
  "lattice_angstrom": [[2.704, 0.000, -0.018], [0.000, 4.165, 0.000], [-0.939, 0.000, 4.981]],
  "species": ["Fe", "Fe", "Os", "Zr"],
  "frac_coords": [[0.919, 0.000, 0.024], [0.808, 0.500, 0.255], [0.517, 0.000, 0.457], [0.256, 0.500, 0.764]],
  "spacegroup": "Pm",
  "energy_ev_per_atom": -34.68,
  "m_tot_mub_per_atom": 1.142
}

---

Entry 10:
{
  "formula": "ZrFe2Os",
  "functional": "SCAN",
  "state": "single point on PBEsol structure",
  "lattice_angstrom": [[3.166, 0.000, 0.000], [0.000, 4.176, 0.000], [0.000, 0.000, 4.291]],
  "species": ["Fe", "Fe", "Os", "Zr"],
  "frac_coords": [[0.000, 0.000, 0.000], [0.500, 0.000, 0.500], [0.500, 0.500, 0.000], [0.000, 0.500, 0.500]],
  "spacegroup": "Pmmm",
  "energy_ev_per_atom": -34.83,
  "m_tot_mub_per_atom": 1.209
}

---

Entry 11:
{
  "formula": "FeP3",
  "functional": "SCAN",
  "state": "single point on PBEsol structure",
  "lattice_angstrom": [[-3.009, -1.872, 0.507], [0.934, -2.926, -5.259], [2.671, -3.064, 4.535]],
  "species": ["Fe", "Fe", "P", "P", "P", "P", "P", "P"],
  "frac_coords": [[0.750, 0.583, 0.417], [0.250, 0.417, 0.583], [0.750, 0.239, 0.761], [0.250, 0.761, 0.239], [0.750, 0.615, 0.806], [0.250, 0.385, 0.194], [0.250, 0.806, 0.615], [0.750, 0.194, 0.385]],
  "spacegroup": "Cmcm",
  "e_above_lowest_polymorph_mev_per_atom": 0,
  "energy_ev_per_atom": -12.16,
  "m_tot_mub_per_atom": 0.000
}

---

Entry 12:
{
  "formula": "FeP",
  "functional": "SCAN",
  "state": "single point on PBEsol structure",
  "lattice_angstrom": [[-1.413, 2.106, -0.652], [-1.082, -1.914, 1.422], [2.500, 3.886, 7.133]],
  "species": ["Fe", "Fe", "P", "P"],
  "frac_coords": [[0.333, 0.667, 0.115], [0.667, 0.333, 0.885], [0.333, 0.667, 0.691], [0.667, 0.333, 0.309]],
  "spacegroup": "P-3m1",
  "energy_ev_per_atom": -14.06,
  "m_tot_mub_per_atom": 0.839
}

---

How do the records compare in formation energy? In the order shown, they have 0.134 0.142 0.362 0.331 0.626 2.240 0.310 -0.105 0.028 -0.116 0.168 0.207 eV/atom.